{"formula": "AcLa2PrSm2", "functional": "GGA-PBE", "state": "optimized geometry", "cell": [[6.733, 0.000, 0.000], [0.000, 18.905, 0.000], [0.000, 0.000, 3.578]], "species": ["Ac", "Ac", "La", "La", "La", "La", "Pr", "Pr", "Sm", "Sm", "Sm", "Sm"], "fractional_positions": [[0.000, 0.000, 0.000], [0.500, 0.500, 0.500], [0.194, 0.192, 0.000], [0.306, 0.692, 0.500], [0.694, 0.308, 0.500], [0.806, 0.808, 0.000], [0.000, 0.500, 0.000], [0.500, 0.000, 0.500], [0.189, 0.353, 0.500], [0.311, 0.853, 0.000], [0.689, 0.147, 0.000], [0.811, 0.647, 0.500]], "volume_a3_per_atom": 37.949, "spacegroup": "Pnnm (58)", "e_form_kj_per_mol_atoms": 23.6}



{"formula": "AcLaGePb", "functional": "GGA-PBE", "state": "optimized geometry", "cell": [[0.000, 3.983, 3.983], [3.983, 0.000, 3.983], [3.983, 3.983, 0.000]], "species": ["Ac", "La", "Ge", "Pb"], "fractional_positions": [[0.000, 0.000, 0.000], [0.500, 0.500, 0.500], [0.250, 0.250, 0.250], [0.750, 0.750, 0.750]], "volume_a3_per_atom": 31.584, "spacegroup": "F-43m (216)", "e_form_kj_per_mol_atoms": -45.2}



{"formula": "PrFe3I12", "functional": "GGA-PBE", "state": "optimized geometry", "cell": [[15.008, 0.000, 0.000], [-7.504, 12.997, 0.000], [0.000, 0.000, 8.242]], "species": ["Pr", "Pr", "Fe", "Fe", "Fe", "Fe", "Fe", "Fe", "I", "I", "I", "I", "I", "I", "I", "I", "I", "I", "I", "I", "I", "I", "I", "I", "I", "I", "I", "I", "I", "I", "I", "I"], "fractional_positions": [[0.333, 0.667, 0.250], [0.667, 0.333, 0.750], [0.118, 0.697, 0.750], [0.303, 0.421, 0.750], [0.421, 0.118, 0.250], [0.579, 0.882, 0.750], [0.697, 0.579, 0.250], [0.882, 0.303, 0.250], [0.004, 0.506, 0.750], [0.023, 0.793, 0.750], [0.207, 0.229, 0.750], [0.229, 0.023, 0.250], [0.236, 0.475, 0.007], [0.236, 0.475, 0.493], [0.238, 0.764, 0.007], [0.238, 0.764, 0.493], [0.475, 0.238, 0.507], [0.475, 0.238, 0.993], [0.494, 0.498, 0.750], [0.498, 0.004, 0.250], [0.502, 0.996, 0.750], [0.506, 0.502, 0.250], [0.525, 0.762, 0.007], [0.525, 0.762, 0.493], [0.762, 0.236, 0.507], [0.762, 0.236, 0.993], [0.764, 0.525, 0.507], [0.764, 0.525, 0.993], [0.771, 0.977, 0.750], [0.793, 0.771, 0.250], [0.977, 0.207, 0.250], [0.996, 0.494, 0.250]], "e_form_raw_ev_per_fu": -6.64, "volume_a3_per_atom": 50.241, "spacegroup": "P6_3/m (176)"}



{"formula": "Er2Tm5Rh4", "functional": "GGA-PBE", "state": "optimized geometry", "cell": [[11.836, -1.739, 0.000], [11.836, 1.739, 0.000], [-0.200, 0.000, 6.760]], "species": ["Er", "Er", "Tm", "Tm", "Tm", "Tm", "Tm", "Rh", "Rh", "Rh", "Rh"], "fractional_positions": [[0.087, 0.087, 0.155], [0.913, 0.913, 0.845], [0.134, 0.134, 0.675], [0.233, 0.233, 0.223], [0.500, 0.500, 0.500], [0.767, 0.767, 0.777], [0.866, 0.866, 0.325], [0.028, 0.028, 0.804], [0.332, 0.332, 0.019], [0.668, 0.668, 0.981], [0.972, 0.972, 0.196]], "volume_a3_per_atom": 25.295, "spacegroup": "C2/m (12)", "e_form_kj_per_mol_atoms": -46.8}



{"formula": "Zr2CdSe", "functional": "GGA-PBE", "state": "optimized geometry", "cell": [[1.845, 1.065, 7.682], [-1.845, 1.065, 7.682], [0.000, -2.130, 7.682]], "species": ["Zr", "Zr", "Cd", "Se"], "fractional_positions": [[0.000, 0.000, 0.000], [0.198, 0.198, 0.198], [0.431, 0.431, 0.431], [0.599, 0.599, 0.599]], "e_form_raw_ev_per_fu": -1.96, "volume_a3_per_atom": 22.638, "spacegroup": "R3m (160)"}



{"formula": "BaMgSi2", "functional": "GGA-PBE", "state": "optimized geometry", "cell": [[-2.344, 2.344, 4.541], [2.344, -2.344, 4.541], [2.344, 2.344, -4.541]], "species": ["Ba", "Mg", "Si", "Si"], "fractional_positions": [[0.000, 0.000, 0.000], [0.250, 0.750, 0.500], [0.500, 0.500, 0.000], [0.750, 0.250, 0.500]], "e_form_raw_ev_per_fu": 1.15, "volume_a3_per_atom": 24.959, "spacegroup": "I-4m2 (119)"}



So what do the calculations give for magnetization? Going down the list: 0.00 0.00 15.00 0.00 0.00 0.00 μB/f.u..